An optimized crystal structure of GdGaGe4. Source: the Alexandria database, functional PBE.

Cell and atoms, written as extended XYZ:
```
6
Lattice="5.5709 0.0000 0.0000 2.7854 4.8245 0.0000 2.7854 1.6082 4.5486" Properties=species:S:1:pos:R:3 pbc="T T T"
Ge 5.5709 3.2164 0.5640
Ge 5.5709 1.6038 2.8444
Ge 6.9674 4.0226 2.8444
Ge 4.1744 4.0226 2.8444
Gd 2.7854 1.6082 1.1372
Ga 0.0000 0.0000 0.0000
```

* total DFT energy (no corrections): -36.600 eV/cell
* energy of formation: -170 meV per atom



An optimized crystal structure of GdGaGe2. Source: the Alexandria database, functional PBE.

Cell and atoms, written as extended XYZ:
```
4
Lattice="-3.4252 -0.6821 2.8369 -1.1648 -4.1900 1.1544 1.5664 -1.4428 5.1125" Properties=species:S:1:pos:R:3 pbc="T T T"
Ge -1.0658 -1.5969 1.8974
Ge -1.9578 -4.7180 7.2064
Gd -1.5118 -3.1574 4.5519
Ga 0.0000 0.0000 0.0000
```

* total DFT energy (no corrections): -27.613 eV/cell
* energy of formation: -318 meV per atom
* polymorph energy (0 for the lowest one): 0.160 eV/atom



An optimized crystal structure of GdGaGe. Source: the Alexandria database, functional PBE.

Cell and atoms, written as extended XYZ:
```
3
Lattice="-2.6885 2.5418 -2.2245 -2.2821 -3.3286 -1.0453 -0.8773 2.1189 3.4815" Properties=species:S:1:pos:R:3 pbc="T T T"
Ge -2.0194 0.9402 1.4150
Gd -3.6166 0.1916 -1.0280
Ga -0.2118 0.2003 -0.1753
```

* total DFT energy (no corrections): -23.736 eV/cell
* energy of formation: -670 meV per atom



An optimized crystal structure of LiGdGaGe. Source: the Alexandria database, functional PBE.

Cell and atoms, written as extended XYZ:
```
4
Lattice="-4.4990 -1.6794 -0.7672 -1.1567 -4.5393 1.3065 -2.9858 -0.7613 3.7624" Properties=species:S:1:pos:R:3 pbc="T T T"
Ge -2.1604 -1.7450 1.0754
Gd 0.0000 0.0000 0.0000
Ga -6.4812 -5.2350 3.2263
Li -4.3208 -3.4900 2.1509
```

* total DFT energy (no corrections): -25.434 eV/cell
* energy of formation: -449 meV per atom



An optimized crystal structure of GdMgGaGe. Source: the Alexandria database, functional PBE.

Cell and atoms, written as extended XYZ:
```
4
Lattice="4.9500 0.0000 0.0000 2.4750 4.2868 0.0000 2.4750 1.4289 4.0416" Properties=species:S:1:pos:R:3 pbc="T T T"
Ge 7.4250 4.2868 3.0312
Gd 0.0000 0.0000 0.0000
Mg 4.9500 2.8579 2.0208
Ga 2.4750 1.4289 1.0104
```

* total DFT energy (no corrections): -24.860 eV/cell
* energy of formation: -385 meV per atom



An optimized crystal structure of NaGdGaGe. Source: the Alexandria database, functional PBE.

Cell and atoms, written as extended XYZ:
```
4
Lattice="-0.2676 -5.0299 -0.0460 3.9244 -2.7453 1.5607 -0.2740 -2.5473 4.3370" Properties=species:S:1:pos:R:3 pbc="T T T"
Na 1.6914 -5.1613 2.9258
Ge 0.8457 -2.5806 1.4629
Gd 0.0000 0.0000 0.0000
Ga 2.5371 -7.7419 4.3887
```

* total DFT energy (no corrections): -24.265 eV/cell
* energy of formation: -305 meV per atom



Question: The highest energy of formation belongs to which entry?
Answer: GdGaGe4



Question: energy of formation of number 5 (GdMgGaGe)?
Answer: -385 meV per atom



Question: Among the records above, which one has the highest total DFT energy (no corrections)?
Answer: GdGaGe



Question: Which value of total DFT energy (no corrections) does entry 2 give?
Answer: -27.613 eV/cell